# CsKAgH3, optimized geometry, DFT PBE-GGA
# Energy = -15.50 eV per formula unit
data_CsKAgH3
_chemical_formula_sum 'Cs2 K2 Ag2 H6'
_cell_length_a 7.291
_cell_length_b 4.412
_cell_length_c 9.813
_cell_angle_alpha 90.00
_cell_angle_beta 108.45
_cell_angle_gamma 90.00
_symmetry_space_group_name_H-M 'P 1 21/m 1'
_symmetry_Int_Tables_number 11
loop_
_symmetry_equiv_pos_as_xyz
'x,y,z'
'-x,-y,-z'
'-x,y+1/2,-z'
'x,-y+1/2,z'
loop_
_atom_site_label
_atom_site_fract_x
_atom_site_fract_y
_atom_site_fract_z
_atom_site_occupancy
Cs1 0.015 0.250 0.219 1
K1 0.474 0.750 0.151 1
Ag1 0.357 0.750 0.529 1
H1 0.252 0.250 0.989 1
H2 0.307 0.750 0.348 1
H3 0.363 0.750 0.704 1